CdCu2NiS4, optimized geometry, DFT PBE; total DFT energy (no corrections) = -0.3001 Ry/atom
1.0
-5.474 -4.793 2.062
4.339 -4.777 0.418
1.008 1.443 6.030
Cu S Ni Cd
4 8 2 2
Direct
0.251 0.830 0.996
0.249 0.170 0.496
0.749 0.830 0.996
0.751 0.170 0.496
0.721 0.846 0.355
0.000 0.650 0.906
0.500 0.708 0.841
0.279 0.846 0.355
0.221 0.154 0.855
0.500 0.350 0.406
0.779 0.154 0.855
0.000 0.292 0.341
0.500 0.677 0.492
0.000 0.323 0.992
0.500 0.341 0.996
0.000 0.659 0.496